A plane-wave DFT calculation with PBE-GGA was carried out for crystalline KPPb2S at its relaxed geometry.

The structure in CIF format:
```
data_KPPb2S
_cell_length_a 5.569
_cell_length_b 5.569
_cell_length_c 5.019
_cell_angle_alpha 90.00
_cell_angle_beta 90.00
_cell_angle_gamma 90.00
_space_group_name_H-M_alt 'P 4/m m m'
_space_group_IT_number 123
_space_group_name_Hall '-P 4 2'
loop_
_atom_site_label
_atom_site_type_symbol
_atom_site_fract_x
_atom_site_fract_y
_atom_site_fract_z
K1 K 0.000 0.000 0.000
P1 P 0.500 0.500 0.500
Pb1 Pb 0.000 0.500 0.500
S1 S 0.500 0.500 0.000
```

Calculated values
ΔE_f (raw) (eV/atom): 0.1498

A plane-wave DFT calculation with PBE-GGA was carried out for crystalline BaNbAs2Se at its relaxed geometry.

The structure in CIF format:
```
data_BaNbAs2Se
_cell_length_a 5.508
_cell_length_b 5.508
_cell_length_c 5.715
_cell_angle_alpha 90.00
_cell_angle_beta 90.00
_cell_angle_gamma 90.00
_space_group_name_H-M_alt 'P 4/m m m'
_space_group_IT_number 123
_space_group_name_Hall '-P 4 2'
loop_
_atom_site_label
_atom_site_type_symbol
_atom_site_fract_x
_atom_site_fract_y
_atom_site_fract_z
Ba1 Ba 0.000 0.000 0.000
Nb1 Nb 0.500 0.500 0.500
As1 As 0.000 0.500 0.000
Se1 Se 0.000 0.000 0.500
```

Calculated values
ΔE_f (raw) (eV/atom): 1.6175
Excess energy over the best structure of this formula in the dataset (kJ per mole of atoms): 226.7

A plane-wave DFT calculation with PBE-GGA was carried out for crystalline Ca2TaHg at its relaxed geometry.

The structure in CIF format:
```
data_Ca2TaHg
_cell_length_a 3.381
_cell_length_b 5.027
_cell_length_c 6.484
_cell_angle_alpha 90.00
_cell_angle_beta 105.07
_cell_angle_gamma 90.00
_space_group_name_H-M_alt 'P 1 m 1'
_space_group_IT_number 6
loop_
_space_group_symop_operation_xyz
'x,y,z'
'x,-y,z'
loop_
_atom_site_label
_atom_site_type_symbol
_atom_site_fract_x
_atom_site_fract_y
_atom_site_fract_z
Ca1 Ca 0.000 0.000 0.000
Ca2 Ca 0.326 0.500 0.654
Ta1 Ta 0.721 0.000 0.444
Hg1 Hg 0.608 0.500 0.215
```

Calculated values
Formation energy (eV/atom): 0.386

A plane-wave DFT calculation with PBE-GGA was carried out for crystalline NbIn2I6 at its relaxed geometry.

The structure in CIF format:
```
data_NbIn2I6
_cell_length_a 7.884
_cell_length_b 8.294
_cell_length_c 13.211
_cell_angle_alpha 90.00
_cell_angle_beta 120.87
_cell_angle_gamma 90.00
_space_group_name_H-M_alt 'P 1 21/c 1'
_space_group_IT_number 14
loop_
_space_group_symop_operation_xyz
'x,y,z'
'-x,-y,-z'
'-x,y+1/2,-z+1/2'
'x,-y+1/2,z+1/2'
loop_
_atom_site_label
_atom_site_type_symbol
_atom_site_fract_x
_atom_site_fract_y
_atom_site_fract_z
Nb1 Nb 0.000 0.000 0.000
In1 In 0.327 0.107 0.788
I1 I 0.098 0.034 0.236
I2 I 0.227 0.715 0.060
I3 I 0.338 0.183 0.050
```

Calculated values
ΔE_f (raw) (eV/atom): -0.4557
Excess energy over the best structure of this formula in the dataset (kJ per mole of atoms): 0.0